1.
# Ca2AcPm3Te6, optimized geometry, DFT PBE
# - final energy (eV/atom) = -4.914
# - V (Å³/atom) = 32.781
# - DOS at the Fermi energy (states/eV per atom) = 0.551
data_Ca2AcPm3Te6
_cell_length_a 7.8000
_cell_length_b 7.8000
_cell_length_c 7.9130
_cell_angle_alpha 99.49
_cell_angle_beta 99.49
_cell_angle_gamma 120.05
_space_group_name_H-M_alt 'P 1'
_space_group_IT_number 1
loop_
_space_group_symop_operation_xyz
'x,y,z'
loop_
_atom_site_label
_atom_site_fract_x
_atom_site_fract_y
_atom_site_fract_z
Ca1 0.1685 0.8315 0.0000
Ca2 0.8315 0.1685 0.0000
Ac1 0.5000 0.5000 0.0000
Pm1 0.0000 0.0000 0.5000
Pm2 0.3389 0.6611 0.5000
Pm3 0.6611 0.3389 0.5000
Te1 0.0700 0.4151 0.7454
Te2 0.2369 0.2369 0.2494
Te3 0.4151 0.0700 0.7454
Te4 0.5849 0.9300 0.2546
Te5 0.7631 0.7631 0.7506
Te6 0.9300 0.5849 0.2546


2.
# Pr5Ho4Zn, optimized geometry, DFT PBE
# - V (Å³/atom) = 32.058
# - DOS at the Fermi energy (states/eV per atom) = 1.367
# - formation enthalpy at 0 K (meV/atom) = -40
data_Pr5Ho4Zn
_cell_length_a 3.6665
_cell_length_b 3.6665
_cell_length_c 23.8472
_cell_angle_alpha 90.00
_cell_angle_beta 90.00
_cell_angle_gamma 90.00
_space_group_name_H-M_alt 'P 1'
_space_group_IT_number 1
loop_
_space_group_symop_operation_xyz
'x,y,z'
loop_
_atom_site_label
_atom_site_fract_x
_atom_site_fract_y
_atom_site_fract_z
Pr1 0.0000 0.0000 0.0000
Pr2 0.0000 0.0000 0.2102
Pr3 0.0000 0.0000 0.4219
Pr4 0.0000 0.0000 0.5781
Pr5 0.0000 0.0000 0.7898
Ho1 0.5000 0.5000 0.1050
Ho2 0.5000 0.5000 0.3143
Ho3 0.5000 0.5000 0.6857
Ho4 0.5000 0.5000 0.8950
Zn1 0.5000 0.5000 0.5000


3.
# MgTaPb3, optimized geometry, DFT PBE
# - V (Å³/atom) = 30.894
# - DOS at the Fermi energy (states/eV per atom) = 1.706
# - formation enthalpy at 0 K (meV/atom) = 1281
data_MgTaPb3
_cell_length_a 5.3655
_cell_length_b 5.3655
_cell_length_c 5.3655
_cell_angle_alpha 90.00
_cell_angle_beta 90.00
_cell_angle_gamma 90.00
_space_group_name_H-M_alt 'P 1'
_space_group_IT_number 1
loop_
_space_group_symop_operation_xyz
'x,y,z'
loop_
_atom_site_label
_atom_site_fract_x
_atom_site_fract_y
_atom_site_fract_z
Mg1 0.0000 0.0000 0.0000
Ta1 0.5000 0.5000 0.5000
Pb1 0.0000 0.0000 0.5000
Pb2 0.0000 0.5000 0.0000
Pb3 0.5000 0.0000 0.0000


4.
# Tl2AgP, optimized geometry, DFT PBE
# - V (Å³/atom) = 23.454
# - DOS at the Fermi energy (states/eV per atom) = 0.473
# - formation enthalpy at 0 K (meV/atom) = 347
data_Tl2AgP
_cell_length_a 3.8122
_cell_length_b 3.8122
_cell_length_c 6.4554
_cell_angle_alpha 90.00
_cell_angle_beta 90.00
_cell_angle_gamma 90.00
_space_group_name_H-M_alt 'P 1'
_space_group_IT_number 1
loop_
_space_group_symop_operation_xyz
'x,y,z'
loop_
_atom_site_label
_atom_site_fract_x
_atom_site_fract_y
_atom_site_fract_z
Tl1 0.0000 0.0000 0.2389
Tl2 0.0000 0.0000 0.7611
Ag1 0.5000 0.5000 0.5000
P1 0.5000 0.5000 0.0000